#one
Below is crystalline TlH2S at its relaxed geometry, with properties calculated at the PBE level.

Unit cell a=6.0665 b=6.1198 c=4.2574 alpha=90.00 beta=90.00 gamma=90.00
Last column: nearest neighbours and their distance in Å.
Space group Imm2 (No. 44)
Asymmetric unit:
1 Tl 0.0000 0.0000 0.0000 x2  8 H 3.08-3.44, 4 S 3.23
2 H 0.0000 0.5000 0.1463 x2  1 H 0.95
3 H 0.0000 0.5000 0.3685 x2  1 H 0.95
4 S 0.0000 0.5000 0.7575 x2  2 H 1.66

---

#two
Below is crystalline TlH2S at its relaxed geometry, with properties calculated at the PBE level.

Unit cell a=5.9436 b=5.9436 c=5.9436 alpha=90.00 beta=90.00 gamma=90.00
Last column: nearest neighbours and their distance in Å.
Space group Fm-3m (No. 225)
Asymmetric unit:
1 Tl 0.0000 0.0000 0.0000 x4  8 H 2.57
2 H 0.2500 0.2500 0.2500 x8  4 S 2.57, 4 Tl 2.57
3 S 0.0000 0.0000 0.5000 x4  8 H 2.57

---

Stability summary - winner: #one; margin: 80.0 kJ/mol of atoms.

---

#one
Below is crystalline TlH2S at its relaxed geometry, with properties calculated at the PBE level.

Unit cell a=5.0315 b=3.8916 c=21.5438 alpha=90.00 beta=93.69 gamma=90.00
Last column: nearest neighbours and their distance in Å.
Space group P2_1/c (No. 14)
Asymmetric unit:
1 Tl 0.2488 0.1432 0.2444 x4  4 Tl 3.19
2 H 0.0006 0.7366 0.0831 x4  1 S 1.35
3 H 0.2983 0.5506 0.4122 x4  1 S 1.35
4 S 0.2568 0.2421 0.4390 x4  2 H 1.35

---

#two
Below is crystalline TlH2S at its relaxed geometry, with properties calculated at the PBE level.

Unit cell a=3.6314 b=3.6342 c=6.9257 alpha=80.30 beta=80.75 gamma=63.65
Last column: nearest neighbours and their distance in Å.
Space group P1 (No. 1)
Asymmetric unit:
1 Tl 0.0000 0.0000 0.0000 x1  4 H 3.22-3.36, 2 S 3.46
2 H 0.1067 0.6144 0.5969 x1  1 S 1.36
3 H 0.3864 0.9017 0.4050 x1  1 S 1.36
4 S 0.0017 0.0002 0.4999 x1  2 H 1.36

---

Stability summary - winner: #one; margin: 0.8 kJ/mol of atoms.